1.
Below is crystalline Th15Tl4Pb at its relaxed geometry, with properties calculated at the PBE-GGA level.

a b c (Å): 4.975 4.975 24.742
angles (deg): 90.00 90.00 90.00
Fractional positions:
1 Th 0.500 0.500 0.799
2 Th 0.000 0.500 0.101
3 Th 0.000 0.500 0.899
4 Th 0.500 0.000 0.300
5 Pb 0.000 0.000 0.000
6 Th 0.500 0.500 0.201
7 Tl 0.000 0.000 0.400
8 Th 0.500 0.000 0.700
9 Th 0.500 0.000 0.500
10 Th 0.000 0.500 0.500
11 Tl 0.000 0.000 0.800
12 Th 0.500 0.000 0.101
13 Tl 0.000 0.000 0.600
14 Th 0.000 0.500 0.300
15 Th 0.000 0.500 0.700
16 Tl 0.000 0.000 0.200
17 Th 0.500 0.500 0.600
18 Th 0.500 0.500 0.000
19 Th 0.500 0.500 0.400
20 Th 0.500 0.000 0.899

Fermi-level density of states: 23.37 states/eV per cell
SG: P4/mmm, No. 123
formation energy: -1.72 eV/f.u.



2.
Below is crystalline Th2TlPb9 at its relaxed geometry, with properties calculated at the PBE-GGA level.

a b c (Å): 4.899 4.899 15.168
angles (deg): 90.00 90.00 90.00
Fractional positions:
1 Th 0.000 0.000 0.348
2 Pb 0.500 0.500 0.333
3 Pb 0.000 0.500 0.831
4 Pb 0.500 0.000 0.831
5 Pb 0.500 0.500 0.000
6 Pb 0.500 0.000 0.169
7 Pb 0.500 0.000 0.500
8 Tl 0.000 0.000 0.000
9 Pb 0.000 0.500 0.169
10 Pb 0.500 0.500 0.667
11 Pb 0.000 0.500 0.500
12 Th 0.000 0.000 0.652

Fermi-level density of states: 8.43 states/eV per cell
SG: P4/mmm, No. 123
formation energy: -1.61 eV/f.u.



3.
Below is crystalline Th2TlPb4 at its relaxed geometry, with properties calculated at the PBE-GGA level.

a b c (Å): 6.883 6.883 6.781
angles (deg): 120.61 120.61 89.81
Fractional positions:
1 Pb 0.286 0.786 0.071
2 Pb 0.286 0.286 0.071
3 Tl 0.786 0.786 0.571
4 Th 0.286 0.786 0.571
5 Th 0.786 0.286 0.571
6 Pb 0.786 0.286 0.071
7 Pb 0.786 0.786 0.072

Fermi-level density of states: 4.17 states/eV per cell
SG: Fmmm, No. 69
formation energy: -0.99 eV/f.u.



4.
Below is crystalline Th2Tl2Pb at its relaxed geometry, with properties calculated at the PBE-GGA level.

a b c (Å): 4.939 4.939 7.074
angles (deg): 89.99 89.99 110.08
Fractional positions:
1 Th 0.500 0.500 0.236
2 Tl 0.825 0.175 0.500
3 Th 0.500 0.500 0.764
4 Pb 0.000 0.000 0.000
5 Tl 0.175 0.825 0.500

Fermi-level density of states: 3.12 states/eV per cell
SG: Cmmm, No. 65
formation energy: 0.74 eV/f.u.



5.
Below is crystalline Th2Tl5Pb at its relaxed geometry, with properties calculated at the PBE-GGA level.

a b c (Å): 4.787 6.906 13.747
angles (deg): 90.00 90.00 90.00
Fractional positions:
1 Tl 0.500 0.757 0.128
2 Tl 0.000 0.508 0.250
3 Th 0.500 0.746 0.877
4 Tl 0.000 0.000 0.000
5 Tl 0.500 0.743 0.628
6 Th 0.500 0.254 0.123
7 Pb 0.000 0.500 0.000
8 Tl 0.000 0.992 0.750
9 Tl 0.500 0.257 0.372
10 Tl 0.500 0.243 0.872
11 Th 0.500 0.754 0.377
12 Pb 0.000 0.000 0.500
13 Tl 0.000 0.500 0.500
14 Tl 0.000 0.008 0.250
15 Tl 0.000 0.492 0.750
16 Th 0.500 0.246 0.623

Fermi-level density of states: 12.57 states/eV per cell
SG: Pbam, No. 55
formation energy: -1.35 eV/f.u.



6.
Below is crystalline TmThTlPb at its relaxed geometry, with properties calculated at the PBE-GGA level.

a b c (Å): 5.460 5.460 5.460
angles (deg): 60.00 60.00 60.00
Fractional positions:
1 Th 0.250 0.250 0.250
2 Tm 0.750 0.750 0.750
3 Tl 0.000 0.000 0.000
4 Pb 0.500 0.500 0.500

Fermi-level density of states: 4.17 states/eV per cell
SG: F-43m, No. 216
formation energy: -0.79 eV/f.u.